[1]
A plane-wave DFT calculation with PBE was carried out for a geometry-optimized BaRuCl structure.

abc: 4.253 4.253 4.597
angles: 90.00 90.00 120.00
Fractional coordinates of all 3 atoms:
Ba 0.000 0.000 0.000
Ru 0.333 0.667 0.500
Cl 0.667 0.333 0.500

Its space-group type is P-6m2, No. 187. The value obtained for the offset from the most stable computed form is 0 meV/atom. The calculation puts the volume at 72 Å³/cell. Its density of states at the Fermi level is 3.86 states/eV/cell. The crystal system is hexagonal.

***

[2]
A plane-wave DFT calculation with PBE was carried out for a geometry-optimized GaAgSn structure.

abc: 3.120 5.751 7.863
angles: 108.47 90.32 105.37
Fractional coordinates of all 6 atoms:
Ga 0.084 0.165 0.245
Ga 0.916 0.835 0.755
Ag 0.372 0.739 0.029
Ag 0.628 0.261 0.971
Sn 0.161 0.315 0.641
Sn 0.839 0.685 0.359

Its space-group type is P-1, No. 2. The calculation puts the volume at 128 Å³/cell. The energy of formation from the pure elements is 0.049 eV/atom. Its density of states at the Fermi level is 2.32 states/eV/cell. The crystal system is triclinic.

***

[3]
A plane-wave DFT calculation with PBE was carried out for a geometry-optimized KHgTeI2 structure.

abc: 6.172 6.172 5.656
angles: 90.00 90.00 90.00
Fractional coordinates of all 5 atoms:
K 0.000 0.000 0.000
Hg 0.500 0.500 0.500
Te 0.500 0.500 0.000
I 0.000 0.500 0.500
I 0.500 0.000 0.500

Its space-group type is P4/mmm, No. 123. The value obtained for the offset from the most stable computed form is 0 meV/atom. The calculation puts the volume at 215 Å³/cell. Its density of states at the Fermi level is 5.62 states/eV/cell. The crystal system is tetragonal.

***

[4]
A plane-wave DFT calculation with PBE was carried out for a geometry-optimized RbSr2HoCl8 structure.

abc: 6.596 9.141 6.782
angles: 90.00 90.29 90.00
Fractional coordinates of all 12 atoms:
Rb 0.000 0.000 0.000
Sr 0.500 0.251 0.500
Sr 0.500 0.749 0.500
Ho 0.000 0.500 0.000
Cl 0.222 0.295 0.167
Cl 0.222 0.705 0.167
Cl 0.261 0.500 0.691
Cl 0.278 0.000 0.629
Cl 0.722 0.000 0.371
Cl 0.739 0.500 0.309
Cl 0.778 0.295 0.833
Cl 0.778 0.705 0.833

Its space-group type is P2/m, No. 10. The calculation puts the volume at 409 Å³/cell. Its density of states at the Fermi level is 0.00 states/eV/cell. Its raw total energy is -51.41 eV/cell. The crystal system is monoclinic.

***

[5]
A plane-wave DFT calculation with PBE was carried out for a geometry-optimized Mn2FeBr structure.

abc: 3.334 3.258 6.565
angles: 90.00 104.61 90.00
Fractional coordinates of all 4 atoms:
Mn 0.000 0.000 0.000
Mn 0.383 0.500 0.765
Fe 0.584 0.500 0.168
Br 0.756 0.000 0.510

Its space-group type is Pm, No. 6. The value obtained for the offset from the most stable computed form is 115 meV/atom. The calculation puts the volume at 69 Å³/cell. Its density of states at the Fermi level is 4.07 states/eV/cell. The crystal system is monoclinic.

***

[6]
A plane-wave DFT calculation with PBE was carried out for a geometry-optimized KMnFe structure.

abc: 6.510 6.510 6.510
angles: 155.68 145.57 42.60
Fractional coordinates of all 3 atoms:
K 0.000 0.000 0.000
Mn 0.265 0.265 0.000
Fe 0.734 0.734 0.000

Its space-group type is Imm2, No. 44. The value obtained for the offset from the most stable computed form is 0 meV/atom. The calculation puts the volume at 64 Å³/cell. The energy of formation from the pure elements is 0.897 eV/atom. Its density of states at the Fermi level is 3.69 states/eV/cell. The crystal system is orthorhombic.

***

[7]
A plane-wave DFT calculation with PBE was carried out for a geometry-optimized NpGaBi structure.

abc: 6.166 6.166 6.166
angles: 145.48 145.48 49.62
Fractional coordinates of all 3 atoms:
Np 0.000 0.000 0.000
Ga 0.338 0.338 0.000
Bi 0.695 0.695 0.000

Its space-group type is I4mm, No. 107. The value obtained for the offset from the most stable computed form is 120 meV/atom. The calculation puts the volume at 75 Å³/cell. The energy of formation from the pure elements is 0.119 eV/atom. Its density of states at the Fermi level is 6.39 states/eV/cell. The crystal system is tetragonal.

***

[8]
A plane-wave DFT calculation with PBE was carried out for a geometry-optimized CsNbRu3 structure.

abc: 4.800 4.800 4.800
angles: 90.00 90.00 90.00
Fractional coordinates of all 5 atoms:
Cs 0.000 0.000 0.000
Nb 0.500 0.500 0.500
Ru 0.000 0.000 0.500
Ru 0.000 0.500 0.000
Ru 0.500 0.000 0.000

Its space-group type is Pm-3m, No. 221. The value obtained for the offset from the most stable computed form is 1357 meV/atom. The calculation puts the volume at 111 Å³/cell. The energy of formation from the pure elements is 2.920 eV/atom. Its density of states at the Fermi level is 7.05 states/eV/cell. The crystal system is cubic.

***

[9]
A plane-wave DFT calculation with PBE was carried out for a geometry-optimized BH4Br3 structure.

abc: 6.359 6.359 6.359
angles: 138.35 110.67 84.25
Fractional coordinates of all 8 atoms:
B 0.000 0.000 0.000
H 0.200 0.051 0.149
H 0.863 0.763 0.900
H 0.863 0.962 0.100
H 0.902 0.051 0.851
Br 0.112 0.383 0.729
Br 0.365 0.865 0.500
Br 0.654 0.383 0.271

Its space-group type is Imm2, No. 44. The calculation puts the volume at 154 Å³/cell. Its density of states at the Fermi level is 3.48 states/eV/cell. Its raw total energy is -23.01 eV/cell. The crystal system is orthorhombic.

***

[10]
A plane-wave DFT calculation with PBE was carried out for a geometry-optimized AgTeO3 structure.

abc: 4.050 4.050 4.050
angles: 90.00 90.00 90.00
Fractional coordinates of all 5 atoms:
Ag 0.000 0.000 0.000
Te 0.500 0.500 0.500
O 0.000 0.000 0.500
O 0.000 0.500 0.000
O 0.500 0.000 0.000

Its space-group type is Pm-3m, No. 221. The calculation puts the volume at 66 Å³/cell. Its density of states at the Fermi level is 2.72 states/eV/cell. Its raw total energy is -19.08 eV/cell. The crystal system is cubic.

***

[11]
A plane-wave DFT calculation with PBE was carried out for a geometry-optimized Tb8Nd3Y3 structure.

abc: 9.720 9.720 9.720
angles: 145.98 111.73 78.51
Fractional coordinates of all 14 atoms:
Tb 0.056 0.897 0.158
Tb 0.062 0.722 0.340
Tb 0.261 0.103 0.158
Tb 0.382 0.722 0.660
Tb 0.618 0.278 0.340
Tb 0.739 0.897 0.842
Tb 0.938 0.278 0.660
Tb 0.944 0.103 0.842
Nd 0.317 0.317 0.000
Nd 0.500 0.000 0.500
Nd 0.683 0.683 0.000
Y 0.000 0.500 0.500
Y 0.298 0.500 0.798
Y 0.702 0.500 0.202

Its space-group type is Immm, No. 71. The calculation puts the volume at 467 Å³/cell. The energy of formation from the pure elements is 0.106 eV/atom. Its density of states at the Fermi level is 22.08 states/eV/cell. The crystal system is orthorhombic.

***

[12]
A plane-wave DFT calculation with PBE was carried out for a geometry-optimized Pm2TmCo structure.

abc: 3.507 3.507 8.733
angles: 90.00 90.00 90.00
Fractional coordinates of all 4 atoms:
Pm 0.000 0.000 0.192
Pm 0.000 0.000 0.808
Tm 0.500 0.500 0.500
Co 0.500 0.500 0.000

Its space-group type is P4/mmm, No. 123. The value obtained for the offset from the most stable computed form is 171 meV/atom. The calculation puts the volume at 107 Å³/cell. The energy of formation from the pure elements is 0.059 eV/atom. Its density of states at the Fermi level is 5.23 states/eV/cell. The crystal system is tetragonal.

***

[13]
A plane-wave DFT calculation with PBE was carried out for a geometry-optimized MoBr structure.

abc: 7.409 7.409 7.409
angles: 109.47 109.47 109.47
Fractional coordinates of all 8 atoms:
Mo 0.000 0.000 0.201
Mo 0.000 0.201 0.000
Mo 0.201 0.000 0.000
Mo 0.799 0.799 0.799
Br 0.000 0.000 0.558
Br 0.000 0.558 0.000
Br 0.442 0.442 0.442
Br 0.558 0.000 0.000

Its space-group type is I-43m, No. 217. The value obtained for the offset from the most stable computed form is 619 meV/atom. The calculation puts the volume at 313 Å³/cell. Its density of states at the Fermi level is 4.45 states/eV/cell. The crystal system is cubic.

***

[14]
A plane-wave DFT calculation with PBE was carried out for a geometry-optimized TbTh2In2Ag2 structure.

abc: 9.389 9.389 9.389
angles: 30.08 30.08 30.08
Fractional coordinates of all 7 atoms:
Tb 0.000 0.000 0.000
Th 0.129 0.129 0.129
Th 0.871 0.871 0.871
In 0.267 0.267 0.267
In 0.733 0.733 0.733
Ag 0.395 0.395 0.395
Ag 0.605 0.605 0.605

Its space-group type is R-3m, No. 166. The calculation puts the volume at 184 Å³/cell. The energy of formation from the pure elements is -0.139 eV/atom. Its density of states at the Fermi level is 4.52 states/eV/cell. The crystal system is trigonal.

***

[15]
A plane-wave DFT calculation with PBE was carried out for a geometry-optimized AlSiGe2C structure.

abc: 4.820 4.820 4.701
angles: 90.00 90.00 90.00
Fractional coordinates of all 5 atoms:
Al 0.000 0.000 0.000
Si 0.000 0.000 0.500
Ge 0.000 0.500 0.000
Ge 0.500 0.000 0.000
C 0.500 0.500 0.500

Its space-group type is P4/mmm, No. 123. The calculation puts the volume at 109 Å³/cell. Its density of states at the Fermi level is 2.87 states/eV/cell. Its raw total energy is -18.07 eV/cell. The crystal system is tetragonal.

***

[16]
A plane-wave DFT calculation with PBE was carried out for a geometry-optimized SrGeF structure.

abc: 9.365 9.365 9.365
angles: 25.00 25.00 25.00
Fractional coordinates of all 6 atoms:
Sr 0.000 0.000 0.000
Sr 0.202 0.202 0.202
Ge 0.456 0.456 0.456
Ge 0.751 0.751 0.751
F 0.630 0.630 0.630
F 0.904 0.904 0.904

Its space-group type is R3m, No. 160. The value obtained for the offset from the most stable computed form is 119 meV/atom. The calculation puts the volume at 129 Å³/cell. The crystal system is trigonal.

***

[17]
A plane-wave DFT calculation with PBE was carried out for a geometry-optimized K3RbAg structure.

abc: 7.571 7.571 7.571
angles: 90.00 90.00 90.00
Fractional coordinates of all 5 atoms:
K 0.000 0.000 0.500
K 0.000 0.500 0.000
K 0.500 0.000 0.000
Rb 0.000 0.000 0.000
Ag 0.500 0.500 0.500

Its space-group type is Pm-3m, No. 221. The value obtained for the offset from the most stable computed form is 523 meV/atom. The calculation puts the volume at 434 Å³/cell. The energy of formation from the pure elements is 0.546 eV/atom. Its density of states at the Fermi level is 5.40 states/eV/cell. The crystal system is cubic.

***

[18]
A plane-wave DFT calculation with PBE was carried out for a geometry-optimized Li3MgF4 structure.

abc: 6.420 6.145 5.060
angles: 90.00 90.00 90.00
Fractional coordinates of all 16 atoms:
Li 0.000 0.220 0.000
Li 0.245 0.353 0.500
Li 0.255 0.647 0.000
Li 0.500 0.780 0.500
Li 0.745 0.647 0.000
Li 0.755 0.353 0.500
Mg 0.000 0.861 0.505
Mg 0.500 0.139 0.005
F 0.000 0.196 0.616
F 0.000 0.725 0.150
F 0.235 0.657 0.617
F 0.265 0.343 0.117
F 0.500 0.275 0.650
F 0.500 0.804 0.116
F 0.735 0.343 0.117
F 0.765 0.657 0.617

Its space-group type is Pmn2_1, No. 31. The calculation puts the volume at 200 Å³/cell. Its density of states at the Fermi level is 2.12 states/eV/cell. Its raw total energy is -72.42 eV/cell. The crystal system is orthorhombic.

***

[19]
A plane-wave DFT calculation with PBE was carried out for a geometry-optimized TbHo6Er2Tm3 structure.

abc: 6.071 6.071 11.620
angles: 94.98 94.98 119.93
Fractional coordinates of all 12 atoms:
Tb 0.000 0.000 0.000
Ho 0.084 0.418 0.251
Ho 0.250 0.250 0.749
Ho 0.418 0.084 0.251
Ho 0.582 0.916 0.749
Ho 0.750 0.750 0.251
Ho 0.916 0.582 0.749
Er 0.333 0.667 0.000
Er 0.667 0.333 0.000
Tm 0.167 0.833 0.500
Tm 0.500 0.500 0.500
Tm 0.833 0.167 0.500

Its space-group type is C2/m, No. 12. The calculation puts the volume at 366 Å³/cell. The energy of formation from the pure elements is 0.022 eV/atom. Its density of states at the Fermi level is 16.38 states/eV/cell. The crystal system is monoclinic.

***

[20]
A plane-wave DFT calculation with PBE was carried out for a geometry-optimized Ti3Ni4P4 structure.

abc: 7.054 7.054 7.054
angles: 150.98 124.96 63.42
Fractional coordinates of all 11 atoms:
Ti 0.000 0.000 0.000
Ti 0.387 0.887 0.500
Ti 0.613 0.113 0.500
Ni 0.020 0.325 0.696
Ni 0.371 0.675 0.696
Ni 0.629 0.325 0.304
Ni 0.980 0.675 0.304
P 0.223 0.223 0.000
P 0.290 0.500 0.790
P 0.710 0.500 0.210
P 0.777 0.777 0.000

Its space-group type is Immm, No. 71. The calculation puts the volume at 138 Å³/cell. The energy of formation from the pure elements is -0.914 eV/atom. Its density of states at the Fermi level is 7.20 states/eV/cell. The crystal system is orthorhombic.